1.
VASP calculation (GGA-PBE) on crystalline AgRhS2Cl at its relaxed geometry.

Calculated values
ΔE to the lowest computed polymorph	0.000	eV per atom
E_form (uncorrected)	0.267	eV per atom
Fermi-level density of states	5.8	states/eV/cell
density	4.83	g/cm³

Unit cell a=4.5840 b=4.5840 c=5.0806 alpha=90.00 beta=90.00 gamma=90.00
Last column: nearest neighbours and their distance in Å.
Atoms (fractional coordinates):
S  0.0000  0.5000  0.0000  2 Rh 2.29
S  0.5000  0.0000  0.0000  2 Rh 2.29
Rh  0.0000  0.0000  0.0000  4 S 2.29, 2 Cl 2.54
Ag  0.5000  0.5000  0.5000  4 Cl 3.24, 8 S 3.42
Cl  0.0000  0.0000  0.5000  2 Rh 2.54


2.
VASP calculation (GGA-PBE) on crystalline AgRhSCl2 at its relaxed geometry.

Calculated values
ΔE to the lowest computed polymorph	0.747	eV per atom
E_form (uncorrected)	0.765	eV per atom
Fermi-level density of states	10.4	states/eV/cell
density	4.39	g/cm³

Unit cell a=4.8267 b=4.8267 c=5.0947 alpha=90.00 beta=90.00 gamma=90.00
Last column: nearest neighbours and their distance in Å.
Atoms (fractional coordinates):
Rh  0.5000  0.5000  0.5000  4 S 3.41, 8 Cl 3.51
Ag  0.0000  0.0000  0.0000  4 Cl 2.41, 2 S 2.55
S  0.0000  0.0000  0.5000  2 Ag 2.55
Cl  0.0000  0.5000  0.0000  2 Ag 2.41
Cl  0.5000  0.0000  0.0000  2 Ag 2.41


3.
VASP calculation (GGA-PBE) on crystalline AgRhSCl2 at its relaxed geometry.

Calculated values
ΔE to the lowest computed polymorph	0.000	eV per atom
E_form (uncorrected)	0.018	eV per atom
Fermi-level density of states	4.0	states/eV/cell
density	4.71	g/cm³

Unit cell a=4.9965 b=4.9965 c=4.4349 alpha=90.00 beta=90.00 gamma=90.00
Last column: nearest neighbours and their distance in Å.
Atoms (fractional coordinates):
Cl  0.5000  0.0000  0.0000  2 Rh 2.50
Cl  0.0000  0.5000  0.0000  2 Rh 2.50
Ag  0.5000  0.5000  0.5000  8 Cl 3.34, 4 S 3.53
S  0.0000  0.0000  0.5000  2 Rh 2.22
Rh  0.0000  0.0000  0.0000  2 S 2.22


4.
VASP calculation (GGA-PBE) on crystalline AgRhS2Cl at its relaxed geometry.

Calculated values
ΔE to the lowest computed polymorph	0.762	eV per atom
E_form (uncorrected)	1.029	eV per atom
Fermi-level density of states	7.8	states/eV/cell
density	4.54	g/cm³

Unit cell a=4.8231 b=4.8231 c=4.8750 alpha=90.00 beta=90.00 gamma=90.00
Last column: nearest neighbours and their distance in Å.
Atoms (fractional coordinates):
Rh  0.5000  0.5000  0.5000  4 Cl 3.41, 8 S 3.43
S  0.5000  0.0000  0.0000  2 Ag 2.41
S  0.0000  0.5000  0.0000  2 Ag 2.41
Ag  0.0000  0.0000  0.0000  4 S 2.41, 2 Cl 2.44
Cl  0.0000  0.0000  0.5000  2 Ag 2.44


5.
VASP calculation (GGA-PBE) on crystalline AgRhS2Cl at its relaxed geometry.

Calculated values
ΔE to the lowest computed polymorph	1.037	eV per atom
E_form (uncorrected)	1.304	eV per atom
Fermi-level density of states	5.9	states/eV/cell
density	4.69	g/cm³

Unit cell a=4.8526 b=4.6620 c=4.8526 alpha=90.00 beta=90.00 gamma=90.00
Last column: nearest neighbours and their distance in Å.
Atoms (fractional coordinates):
Rh  0.5000  0.5000  0.5000  8 S 3.36, 4 Ag 3.43
Ag  0.0000  0.5000  0.0000  2 Cl 2.33
Cl  0.0000  0.0000  0.0000  2 Ag 2.33, 4 S 2.43
S  0.0000  0.0000  0.5000  2 Cl 2.43
S  0.5000  0.0000  0.0000  2 Cl 2.43


6.
VASP calculation (GGA-PBE) on crystalline AgSb2RhCl at its relaxed geometry.

Calculated values
E_form (uncorrected)	0.122	eV per atom
Fermi-level density of states	2.8	states/eV/cell
density	6.09	g/cm³

Unit cell a=4.9909 b=5.3592 c=4.9909 alpha=90.00 beta=90.00 gamma=90.00
Last column: nearest neighbours and their distance in Å.
Atoms (fractional coordinates):
Rh  0.0000  0.0000  0.0000  4 Sb 2.50, 2 Ag 2.68
Ag  0.0000  0.5000  0.0000  2 Rh 2.68
Cl  0.5000  0.5000  0.5000  4 Ag 3.53, 8 Sb 3.66
Sb  0.5000  0.0000  0.0000  2 Rh 2.50
Sb  0.0000  0.0000  0.5000  2 Rh 2.50


7.
VASP calculation (GGA-PBE) on crystalline SrAgRhCl6 at its relaxed geometry.

Calculated values
E_form (uncorrected)	-1.144	eV per atom
density	3.68	g/cm³

Unit cell a=6.8118 b=6.8118 c=11.4645 alpha=90.00 beta=90.00 gamma=120.00
Last column: nearest neighbours and their distance in Å.
Atoms (fractional coordinates):
Cl  0.3785  0.3219  0.3735  1 Rh 2.39
Cl  0.3219  0.3785  0.8735  1 Rh 2.39
Cl  0.0566  0.3785  0.6265  1 Rh 2.39
Cl  0.0566  0.6781  0.8735  1 Rh 2.39
Cl  0.6215  0.6781  0.6265  1 Rh 2.39
Cl  0.9434  0.3219  0.1265  1 Rh 2.39
Cl  0.3785  0.0566  0.1265  1 Rh 2.39
Cl  0.6215  0.9434  0.8735  1 Rh 2.39
Cl  0.9434  0.6215  0.3735  1 Rh 2.39
Cl  0.6781  0.6215  0.1265  1 Rh 2.39
Cl  0.3219  0.9434  0.6265  1 Rh 2.39
Cl  0.6781  0.0566  0.3735  1 Rh 2.39
Rh  0.3333  0.6667  0.7500  6 Cl 2.39
Rh  0.6667  0.3333  0.2500  6 Cl 2.39
Ag  0.0000  0.0000  0.5000  6 Cl 2.81
Ag  0.0000  0.0000  0.0000  6 Cl 2.81
Sr  0.6667  0.3333  0.7500  6 Cl 2.89
Sr  0.3333  0.6667  0.2500  6 Cl 2.89


8.
VASP calculation (GGA-PBE) on crystalline TlAgRhCl6 at its relaxed geometry.

Calculated values
E_form (uncorrected)	-0.605	eV per atom
Fermi-level density of states	11.7	states/eV/cell
density	4.07	g/cm³

Unit cell a=6.6598 b=6.6600 c=6.6703 alpha=90.00 beta=90.00 gamma=60.00
Last column: nearest neighbours and their distance in Å.
Atoms (fractional coordinates):
Cl  0.0367  0.3475  0.2972  1 Rh 2.36
Cl  0.6157  0.3474  0.7028  1 Rh 2.36
Cl  0.3474  0.0368  0.7028  1 Rh 2.36
Cl  0.0368  0.6157  0.7027  1 Rh 2.36
Cl  0.6158  0.0367  0.2972  1 Rh 2.36
Cl  0.3474  0.6158  0.2972  1 Rh 2.36
Tl  0.0000  0.0001  0.0001  6 Cl 3.15
Ag  0.6667  0.6667  0.5001  6 Cl 2.68
Rh  0.3333  0.3333  0.4999  6 Cl 2.36


9.
VASP calculation (GGA-PBE) on crystalline TlAgRh2Cl at its relaxed geometry.

Calculated values
E_form (uncorrected)	1.216	eV per atom
Fermi-level density of states	4.4	states/eV/cell
density	6.44	g/cm³

Unit cell a=5.1166 b=5.4527 c=5.1166 alpha=90.00 beta=90.00 gamma=90.00
Last column: nearest neighbours and their distance in Å.
Atoms (fractional coordinates):
Tl  0.0000  0.0000  0.0000  4 Rh 2.56, 2 Cl 2.73
Ag  0.5000  0.5000  0.5000  4 Cl 3.62, 8 Rh 3.74
Rh  0.0000  0.0000  0.5000  2 Tl 2.56
Rh  0.5000  0.0000  0.0000  2 Tl 2.56
Cl  0.0000  0.5000  0.0000  2 Tl 2.73


10.
VASP calculation (GGA-PBE) on crystalline AgRuCl2 at its relaxed geometry.

Calculated values
ΔE to the lowest computed polymorph	0.278	eV per atom
E_form (uncorrected)	0.279	eV per atom
Fermi-level density of states	1.2	states/eV/cell
density	5.55	g/cm³

Unit cell a=3.2530 b=3.2530 c=7.9062 alpha=90.00 beta=90.00 gamma=90.00
Last column: nearest neighbours and their distance in Å.
Atoms (fractional coordinates):
Ag  0.5000  0.5000  0.7372  4 Cl 2.71, 4 Ru 2.90
Cl  0.5000  0.5000  0.3307  4 Ru 2.72
Cl  0.0000  0.0000  0.9178  4 Ag 2.71
Ru  0.0000  0.0000  0.5143  4 Cl 2.72, 4 Ag 2.90


11.
VASP calculation (GGA-PBE) on crystalline AgRuCl2 at its relaxed geometry.

Calculated values
ΔE to the lowest computed polymorph	0.370	eV per atom
E_form (uncorrected)	0.372	eV per atom
Fermi-level density of states	2.6	states/eV/cell
density	5.73	g/cm³

Unit cell a=5.9926 b=5.9926 c=3.1236 alpha=59.14 beta=59.14 gamma=82.94
Last column: nearest neighbours and their distance in Å.
Atoms (fractional coordinates):
Cl  0.5000  0.5000  0.0000  2 Ag 2.57, 2 Ru 2.57
Cl  0.0000  0.0000  0.0000  2 Ru 2.57, 2 Ag 2.57
Ru  0.5000  0.0000  0.5000  4 Cl 2.57
Ag  0.0000  0.5000  0.5000  4 Cl 2.57


12.
VASP calculation (GGA-PBE) on crystalline AgRuCl2 at its relaxed geometry.

Calculated values
ΔE to the lowest computed polymorph	0.121	eV per atom
E_form (uncorrected)	0.122	eV per atom
Fermi-level density of states	0.6	states/eV/cell
density	4.78	g/cm³

Unit cell a=9.5147 b=9.5147 c=9.5147 alpha=21.05 beta=21.05 gamma=21.05
Last column: nearest neighbours and their distance in Å.
Atoms (fractional coordinates):
Cl  0.8800  0.8800  0.8800  3 Ru 2.39
Cl  0.1200  0.1200  0.1200  3 Ru 2.39
Ru  0.5000  0.5000  0.5000  6 Cl 2.39
Ag  0.0000  0.0000  0.0000  2 Cl 3.35, 6 Ag 3.48


13.
VASP calculation (GGA-PBE) on crystalline AgRu2Cl at its relaxed geometry.

Calculated values
ΔE to the lowest computed polymorph	0.675	eV per atom
E_form (uncorrected)	0.904	eV per atom
Fermi-level density of states	5.8	states/eV/cell
density	8.89	g/cm³

Unit cell a=2.8067 b=4.7979 c=4.7934 alpha=90.00 beta=90.00 gamma=90.00
Last column: nearest neighbours and their distance in Å.
Atoms (fractional coordinates):
Ru  0.0000  0.0000  0.0000  4 Ag 2.78, 6 Ru 2.78-2.81
Ru  0.5000  0.5000  0.0000  4 Cl 2.78, 6 Ru 2.78-2.81
Cl  0.0000  0.5000  0.5000  4 Ru 2.78, 4 Ag 2.78, 2 Cl 2.81
Ag  0.5000  0.0000  0.5000  4 Ru 2.78, 4 Cl 2.78, 2 Ag 2.81


14.
VASP calculation (GGA-PBE) on crystalline AgRuCl4 at its relaxed geometry.

Calculated values
ΔE to the lowest computed polymorph	0.013	eV per atom
E_form (uncorrected)	-0.455	eV per atom
Fermi-level density of states	8.3	states/eV/cell
density	3.61	g/cm³

Unit cell a=7.9227 b=6.2023 c=8.1438 alpha=101.38 beta=110.05 gamma=112.15
Last column: nearest neighbours and their distance in Å.
Atoms (fractional coordinates):
Cl  0.0103  0.6912  0.8687  1 Ru 2.38, 2 Ag 2.62-2.66
Cl  0.7658  0.4282  0.3932  2 Ru 2.38
Cl  0.1275  0.9651  0.3932  2 Ru 2.38
Cl  0.2342  0.5718  0.6068  2 Ru 2.38
Cl  0.9897  0.3088  0.1313  1 Ru 2.38, 2 Ag 2.62-2.66
Cl  0.3584  0.1774  0.8687  1 Ru 2.38, 2 Ag 2.62-2.66
Cl  0.6416  0.8226  0.1313  1 Ru 2.38, 2 Ag 2.62-2.66
Cl  0.8725  0.0349  0.6068  2 Ru 2.38
Ag  0.7531  0.5031  0.0062  4 Cl 2.62-2.66
Ag  0.2469  0.4969  0.9938  4 Cl 2.62-2.66
Ru  0.9393  0.1893  0.3786  6 Cl 2.38
Ru  0.0607  0.8107  0.6214  6 Cl 2.38


15.
VASP calculation (GGA-PBE) on crystalline AgRuCl3 at its relaxed geometry.

Calculated values
ΔE to the lowest computed polymorph	0.000	eV per atom
E_form (uncorrected)	0.006	eV per atom
Fermi-level density of states	8.3	states/eV/cell
density	4.67	g/cm³

Unit cell a=4.8213 b=4.8213 c=4.8213 alpha=90.00 beta=90.00 gamma=90.00
Last column: nearest neighbours and their distance in Å.
Atoms (fractional coordinates):
Ag  0.5000  0.5000  0.5000  12 Cl 3.41
Cl  0.0000  0.5000  0.0000  2 Ru 2.41
Cl  0.0000  0.0000  0.5000  2 Ru 2.41
Cl  0.5000  0.0000  0.0000  2 Ru 2.41
Ru  0.0000  0.0000  0.0000  6 Cl 2.41


16.
VASP calculation (GGA-PBE) on crystalline AgRu2Cl at its relaxed geometry.

Calculated values
ΔE to the lowest computed polymorph	0.931	eV per atom
E_form (uncorrected)	1.161	eV per atom
Fermi-level density of states	3.7	states/eV/cell
density	8.82	g/cm³

Unit cell a=4.5146 b=4.5146 c=4.5146 alpha=60.00 beta=60.00 gamma=60.00
Last column: nearest neighbours and their distance in Å.
Atoms (fractional coordinates):
Cl  0.0000  0.0000  0.0000  8 Ru 2.76
Ru  0.2500  0.2500  0.2500  4 Cl 2.76, 4 Ag 2.76
Ru  0.7500  0.7500  0.7500  4 Cl 2.76, 4 Ag 2.76
Ag  0.5000  0.5000  0.5000  8 Ru 2.76


17.
VASP calculation (GGA-PBE) on crystalline AgRuCl2 at its relaxed geometry.

Calculated values
ΔE to the lowest computed polymorph	0.000	eV per atom
E_form (uncorrected)	0.001	eV per atom
Fermi-level density of states	2.4	states/eV/cell
density	4.91	g/cm³

Unit cell a=7.0042 b=7.0042 c=4.8888 alpha=69.47 beta=69.47 gamma=25.04
Last column: nearest neighbours and their distance in Å.
Atoms (fractional coordinates):
Cl  0.1071  0.1071  0.8936  2 Ru 2.37
Cl  0.3929  0.3929  0.6064  2 Ru 2.37
Ag  0.2500  0.2500  0.2500  4 Ru 2.88, 2 Ag 3.04, 4 Cl 3.05
Ru  0.7500  0.7500  0.7500  4 Cl 2.37


18.
VASP calculation (GGA-PBE) on crystalline AgRuCl2 at its relaxed geometry.

Calculated values
ΔE to the lowest computed polymorph	0.768	eV per atom
E_form (uncorrected)	0.769	eV per atom
Fermi-level density of states	4.1	states/eV/cell
density	6.06	g/cm³

Unit cell a=4.7689 b=4.7689 c=4.7689 alpha=60.00 beta=60.00 gamma=60.00
Last column: nearest neighbours and their distance in Å.
Atoms (fractional coordinates):
Ru  0.7500  0.7500  0.7500  4 Cl 2.92, 4 Ag 2.92
Ag  0.5000  0.5000  0.5000  4 Cl 2.92, 4 Ru 2.92
Cl  0.0000  0.0000  0.0000  4 Ru 2.92, 4 Cl 2.92
Cl  0.2500  0.2500  0.2500  4 Cl 2.92, 4 Ag 2.92


19.
VASP calculation (GGA-PBE) on crystalline AgRuCl2 at its relaxed geometry.

Calculated values
ΔE to the lowest computed polymorph	0.411	eV per atom
E_form (uncorrected)	0.412	eV per atom
Fermi-level density of states	2.9	states/eV/cell
density	6.20	g/cm³

Unit cell a=3.3015 b=3.3015 c=6.8755 alpha=90.00 beta=90.00 gamma=90.00
Last column: nearest neighbours and their distance in Å.
Atoms (fractional coordinates):
Ru  0.5000  0.5000  0.2500  8 Cl 2.83
Ag  0.5000  0.5000  0.7500  8 Cl 2.97, 4 Ag 3.30
Cl  0.0000  0.0000  0.0177  4 Ru 2.83, 4 Ag 2.97
Cl  0.0000  0.0000  0.4823  4 Ru 2.83, 4 Ag 2.97


20.
VASP calculation (GGA-PBE) on crystalline AgRu4Cl at its relaxed geometry.

Calculated values
E_form (uncorrected)	1.063	eV per atom
Fermi-level density of states	10.9	states/eV/cell
density	9.04	g/cm³

Unit cell a=5.2199 b=5.2199 c=5.2199 alpha=60.00 beta=60.00 gamma=60.00
Last column: nearest neighbours and their distance in Å.
Atoms (fractional coordinates):
Ru  0.3743  0.3743  0.3743  6 Ru 2.60-2.62
Ru  0.8771  0.3743  0.3743  6 Ru 2.60-2.62
Ru  0.3743  0.3743  0.8771  6 Ru 2.60-2.62
Ru  0.3743  0.8771  0.3743  6 Ru 2.60-2.62
Ag  0.7500  0.7500  0.7500  12 Ru 3.06, 4 Cl 3.20
Cl  0.0000  0.0000  0.0000  12 Ru 3.06, 4 Ag 3.20